{
  "formula": "Sr2AlVO6",
  "functional": "PBE+U",
  "state": "optimized geometry",
  "n_ef_per_ev_cell": 0.00,
  "dft_energy_ev_per_cell": -70.99,
  "total_magnetization_mub_per_fu": 0.0,
  "cell": [[0.0000, 3.8418, 3.8418], [3.8418, 0.0000, 3.8418], [3.8418, 3.8418, 0.0000]],
  "species": ["Sr", "Sr", "Al", "V", "O", "O", "O", "O", "O", "O"],
  "frac_coords": [[0.2500, 0.2500, 0.2500], [0.7500, 0.7500, 0.7500], [0.0000, 0.0000, 0.0000], [0.5000, 0.5000, 0.5000], [0.2512, 0.2512, 0.7488], [0.2512, 0.7488, 0.2512], [0.2512, 0.7488, 0.7488], [0.7488, 0.2512, 0.2512], [0.7488, 0.2512, 0.7488], [0.7488, 0.7488, 0.2512]]
}